First-principles (PBE) data for Rb5Ga2Bi4 after structural relaxation, as listed in Alexandria.

abc: 21.494 4.530 11.145
angles: 90.00 96.32 90.00
Space group C2/m (No. 12)
One atom of each set of equivalent atoms:
Rb1 0.000 0.000 0.000 x2
Rb2 0.141 0.500 0.474 x4
Rb3 0.168 0.500 0.981 x4
Ga1 0.095 0.000 0.734 x4
Bi1 0.020 0.500 0.735 x4
Bi2 0.220 0.000 0.733 x4

Summary:
Raw total energy: -2.621 eV/atom

First-principles (PBE) data for RbGaBi3 after structural relaxation, as listed in Alexandria.

abc: 7.316 9.289 5.863
angles: 90.00 90.00 90.00
Space group Pmn2_1 (No. 31)
One atom of each set of equivalent atoms:
Rb1 0.000 0.088 0.000 x2
Ga1 0.000 0.527 0.302 x2
Bi1 0.000 0.766 0.595 x2
Bi2 0.247 0.321 0.490 x4

Summary:
ΔE to the lowest computed polymorph: 0 meV per atom